A crystal of YAlMo2 relaxed with PBEsol. Source: Alexandria, functional meta-GGA SCAN.

Output
Space group: Cmm2
Spin magnetization: 0.00 μB/cell
E: -104.674 eV for the cell shown

a b c (Å): 2.8826 2.8826 9.2013
angles (deg): 90.00 90.00 110.72
With the nearest neighbours (Å) after each atom.
Fractional positions:
Y  0.0000  0.0000  0.5082  4 Y 2.88, 2 Mo 2.97, 2 Al 3.10
Al  0.5000  0.5000  0.2220  2 Mo 2.67, 4 Al 2.88
Mo  0.5000  0.5000  0.7771  2 Mo 2.57
Mo  0.0000  0.0000  0.9926  2 Mo 2.57, 2 Al 2.67